PBE Ga2CoMo2, optimized geometry; E_form = 103 meV/atom; DFT total energy = -34.31 eV per formula unit
1.0
-0.703 -5.598 -2.147
4.483 -1.927 3.554
-2.640 -0.783 2.906
Mo Co Ga
4 2 4
Direct
0.162 0.662 0.500
0.662 0.838 0.500
0.838 0.338 0.500
0.338 0.162 0.500
0.000 0.000 0.000
0.500 0.500 0.000
0.355 0.855 0.000
0.855 0.645 0.000
0.645 0.145 0.000
0.145 0.355 0.000